P:
Compound: MnZn2WO6
Source: the Alexandria database
Functional: SCAN
Structure: single point on PBEsol structure

Output
As for the space-group type: No. 14. The value obtained for the total magnetic moment is 0.50 μB/atom.

Cell and atoms, written as extended XYZ:
```
20
Lattice="-4.123 -1.727 -2.660 -0.571 -3.877 3.402 -4.698 4.370 4.445" Properties=species:S:1:pos:R:3 pbc="T T T"
Zn -3.171 0.270 -0.064
O -3.942 -1.340 0.907
W -4.696 -0.616 2.594
O -8.060 1.457 3.086
Mn -2.347 -2.802 0.371
Zn -6.220 -1.502 5.251
Zn -5.420 -2.517 0.145
O -3.095 -1.035 3.574
O -4.071 1.151 2.187
O -7.837 -1.621 4.018
O -1.555 0.388 1.170
W 0.000 0.000 0.000
O -5.321 -2.384 3.001
O -3.709 -4.102 1.431
O -5.450 0.107 4.280
Mn -2.349 2.185 2.223
O -5.683 2.869 3.757
Zn -3.972 1.284 5.043
O -1.331 -2.689 2.101
O -6.297 -0.198 1.614
```



Q:
Compound: MnZn2WO6
Source: the Alexandria database
Functional: SCAN
Structure: single point on PBEsol structure

Output
As for the space-group type: No. 146. The value obtained for the total magnetic moment is 0.50 μB/atom.

Cell and atoms, written as extended XYZ:
```
10
Lattice="-3.036 -3.701 -2.013 0.051 -4.784 2.020 -4.389 -1.632 2.923" Properties=species:S:1:pos:R:3 pbc="T T T"
Zn -5.644 -7.548 2.294
O -2.784 -7.006 1.179
O -5.555 -5.925 1.265
Mn -3.707 -5.051 1.482
O -4.300 -3.084 1.560
Zn -2.262 -2.382 1.093
O -1.663 -4.294 1.371
O -3.661 -4.917 -0.696
O -3.444 -5.377 3.495
W -3.019 -8.473 0.037
```



The energetic minimum among the shown structures is Q; the next structure lies 0.034 eV/atom above.